# LaAlSeBr2 | the Alexandria database | meta-GGA SCAN | single point on PBEsol structure
# Space-group type: No. 123
# DOS(E_F), states/eV/cell: 0.00
# Formation energy (no corrections), meV/atom: -1106.8
# Crystal system: tetragonal
data_LaAlSeBr2
_space_group_name_H-M_alt 'P 1'
_space_group_IT_number 1
_space_group_name_Hall 'P 1'
_cell_length_a 5.6954
_cell_length_b 5.7574
_cell_length_c 5.7574
_cell_angle_alpha 90.00
_cell_angle_beta 90.00
_cell_angle_gamma 90.00
loop_
_atom_site_label
_atom_site_fract_x
_atom_site_fract_y
_atom_site_fract_z
Al1 0.5000 0.5000 0.5000
Se1 0.5000 0.0000 0.0000
Br1 0.0000 0.0000 0.5000
Br2 0.0000 0.5000 0.0000
La1 0.0000 0.0000 0.0000